DFT (GGA-PBE) results for crystalline Ti2PdPt5 at its relaxed geometry.

space group	Pbam (55)
Fermi-level density of states	4.00	states/eV/cell
DFT total energy	-7.24	eV per atom
formation energy	-0.838	eV/atom

Cell lengths 5.573, 11.148, 3.947 Å; angles 90.00, 90.00, 90.00 degrees
Fractional coordinates of all 16 atoms:
Ti 0.248 0.125 0.000
Ti 0.252 0.625 0.000
Ti 0.748 0.375 0.000
Ti 0.752 0.875 0.000
Pd 0.000 0.500 0.500
Pd 0.500 0.000 0.500
Pt 0.000 0.000 0.500
Pt 0.000 0.250 0.500
Pt 0.000 0.750 0.500
Pt 0.249 0.376 0.000
Pt 0.251 0.876 0.000
Pt 0.500 0.250 0.500
Pt 0.500 0.500 0.500
Pt 0.500 0.750 0.500
Pt 0.749 0.124 0.000
Pt 0.751 0.624 0.000